[1]
# Ce8SmPb6 PBE-GGA optimized geometry
# E_tot	-5.176	eV/atom
# Fermi-level density of states	51.19	states/eV/f.u.
# DFT formation energy	-0.21	eV per atom
# volume	1556	Å³ per cell
# total magnetic moment	0.705	μB/atom
data_Ce8SmPb6
_chemical_formula_sum 'Ce24 Sm3 Pb18'
_space_group_name_H-M_alt 'R -3'
_space_group_IT_number 148
_space_group_name_Hall '-R 3'
_cell_length_a 9.5488
_cell_length_b 9.5488
_cell_length_c 19.7012
_cell_angle_alpha 90.00
_cell_angle_beta 90.00
_cell_angle_gamma 120.00
loop_
_atom_site_label
_atom_site_fract_x
_atom_site_fract_y
_atom_site_fract_z
Ce1 0.0000 0.0000 0.1661
Ce2 0.0012 0.6611 0.4067
Sm1 0.0000 0.0000 0.5000
Pb1 0.0007 0.6727 0.5732

=====

[2]
# CeSm5Pb4 PBE-GGA optimized geometry
# E_tot	-4.777	eV/atom
# Fermi-level density of states	12.89	states/eV/f.u.
# DFT formation energy	-0.34	eV per atom
# volume	672	Å³ per cell
# total magnetic moment	0.163	μB/atom
data_CeSm5Pb4
_chemical_formula_sum 'Ce2 Sm10 Pb8'
_space_group_name_H-M_alt 'C 1 2/m 1'
_space_group_IT_number 12
_cell_length_a 16.6012
_cell_length_b 5.5300
_cell_length_c 7.3228
_cell_angle_alpha 90.00
_cell_angle_beta 90.22
_cell_angle_gamma 90.00
loop_
_space_group_symop_operation_xyz
'x,y,z'
'-x,-y,-z'
'-x,y,-z'
'x,-y,z'
'x+1/2,y+1/2,z'
'-x+1/2,-y+1/2,-z'
'-x+1/2,y+1/2,-z'
'x+1/2,-y+1/2,z'
loop_
_atom_site_label
_atom_site_fract_x
_atom_site_fract_y
_atom_site_fract_z
Ce1 0.0000 0.0000 0.0000
Sm1 0.0000 0.0000 0.5000
Sm2 0.1662 0.5000 0.5104
Sm3 0.1661 0.5000 0.9928
Pb1 0.0091 0.5000 0.2527
Pb2 0.1770 0.0000 0.7488